[1]
KCrB2: optimized geometry, PBE.

Lattice parameters (Å, degrees): 5.984 5.984 5.984 90.00 90.00 90.00
Space group Fm-3m (No. 225)
Asymmetric unit:
K1 0.000 0.000 0.000 (multiplicity 4)
Cr1 0.000 0.000 0.500 (multiplicity 4)
B1 0.250 0.250 0.250 (multiplicity 8)

Results
For the raw total energy, the calculation gives -3.87 eV per atom.

---

[2]
KCr3B: optimized geometry, PBE.

Lattice parameters (Å, degrees): 4.497 4.497 4.497 90.00 90.00 90.00
Space group Pm-3m (No. 221)
Asymmetric unit:
K1 0.000 0.000 0.000 (multiplicity 1)
Cr1 0.000 0.500 0.500 (multiplicity 3)
B1 0.500 0.500 0.500 (multiplicity 1)

Results
For the raw total energy, the calculation gives -6.30 eV per atom.

---

[3]
K2CrB: optimized geometry, PBE.

Lattice parameters (Å, degrees): 11.998 11.998 4.167 90.00 90.00 90.00
Space group I-42d (No. 122)
Asymmetric unit:
K1 0.058 0.250 0.125 (multiplicity 8)
Cr1 0.000 0.000 0.500 (multiplicity 4)
B1 0.000 0.000 0.000 (multiplicity 4)

Results
For the raw total energy, the calculation gives -3.75 eV per atom.

---

[4]
K3CrB: optimized geometry, PBE.

Lattice parameters (Å, degrees): 5.978 5.978 5.978 90.00 90.00 90.00
Space group Pm-3m (No. 221)
Asymmetric unit:
K1 0.000 0.000 0.500 (multiplicity 3)
Cr1 0.500 0.500 0.500 (multiplicity 1)
B1 0.000 0.000 0.000 (multiplicity 1)

Results
For the raw total energy, the calculation gives -2.61 eV per atom.

---

[5]
KCrB2: optimized geometry, PBE.

Lattice parameters (Å, degrees): 5.758 5.758 10.420 90.00 90.00 90.00
Space group I4_1/amd (No. 141, origin choice 2)
Asymmetric unit:
K1 0.000 0.250 0.375 (multiplicity 4)
Cr1 0.000 0.250 0.875 (multiplicity 4)
B1 0.000 0.000 0.000 (multiplicity 8)

Results
For the raw total energy, the calculation gives -4.99 eV per atom.

---

[6]
KMgCr2B: optimized geometry, PBE.

Lattice parameters (Å, degrees): 5.175 5.175 6.046 90.00 90.00 90.00
Space group P4/mmm (No. 123)
Asymmetric unit:
K1 0.000 0.000 0.000 (multiplicity 1)
Mg1 0.000 0.000 0.500 (multiplicity 1)
Cr1 0.000 0.500 0.500 (multiplicity 2)
B1 0.500 0.500 0.000 (multiplicity 1)

Results
For the raw total energy, the calculation gives -3.56 eV per atom.

---

[7]
KMgCr2B: optimized geometry, PBE.

Lattice parameters (Å, degrees): 5.351 5.351 4.429 90.00 90.00 90.00
Space group P4/mmm (No. 123)
Asymmetric unit:
K1 0.000 0.000 0.000 (multiplicity 1)
Mg1 0.500 0.500 0.500 (multiplicity 1)
Cr1 0.000 0.500 0.500 (multiplicity 2)
B1 0.500 0.500 0.000 (multiplicity 1)

Results
For the raw total energy, the calculation gives -4.14 eV per atom.

---

[8]
KMg2CrB: optimized geometry, PBE.

Lattice parameters (Å, degrees): 4.825 4.825 4.492 90.00 90.00 90.00
Space group P4/mmm (No. 123)
Asymmetric unit:
K1 0.000 0.000 0.000 (multiplicity 1)
Mg1 0.000 0.500 0.500 (multiplicity 2)
Cr1 0.500 0.500 0.000 (multiplicity 1)
B1 0.500 0.500 0.500 (multiplicity 1)

Results
For the raw total energy, the calculation gives -3.54 eV per atom.

---

[9]
KNa2CrB: optimized geometry, PBE.

Lattice parameters (Å, degrees): 5.836 5.836 4.140 90.00 90.00 90.00
Space group P4/mmm (No. 123)
Asymmetric unit:
K1 0.000 0.000 0.000 (multiplicity 1)
Na1 0.000 0.500 0.500 (multiplicity 2)
Cr1 0.500 0.500 0.500 (multiplicity 1)
B1 0.500 0.500 0.000 (multiplicity 1)

Results
For the raw total energy, the calculation gives -3.18 eV per atom.

---

[10]
KNbCrB2: optimized geometry, PBE.

Lattice parameters (Å, degrees): 4.578 4.578 4.601 90.00 90.00 90.00
Space group P4/mmm (No. 123)
Asymmetric unit:
K1 0.000 0.000 0.000 (multiplicity 1)
Nb1 0.500 0.500 0.500 (multiplicity 1)
Cr1 0.500 0.500 0.000 (multiplicity 1)
B1 0.000 0.500 0.500 (multiplicity 2)

Results
For the raw total energy, the calculation gives -5.25 eV per atom.